# 1
First-principles (GGA-PBEsol) data for crystalline Al4Cu at its relaxed geometry, as listed in Alexandria.

Energy of formation from the pure elements in eV per atom: -0.026
Space group: No. 87
ρ in g/cm³: 3.789
Uncorrected energy in eV for the cell shown: -20.83
Size of the total moment in μB per formula unit: 0.0

abc: 4.789 4.789 4.789
angles: 99.78 99.78 131.31
Sites, in units of the cell vectors:
Al1 0.106 0.702 0.808
Al2 0.298 0.106 0.404
Al3 0.702 0.894 0.596
Al4 0.894 0.298 0.192
Cu1 0.500 0.500 0.000

***

# 2
First-principles (GGA-PBEsol) data for crystalline DyAlCu4 at its relaxed geometry, as listed in Alexandria.

Energy of formation from the pure elements in eV per atom: -0.245
Space group: No. 187
ρ in g/cm³: 8.290
Uncorrected energy in eV for the cell shown: -27.88
Size of the total moment in μB per formula unit: 0.0

abc: 5.070 5.070 3.992
angles: 90.00 90.00 120.00
Sites, in units of the cell vectors:
Dy1 0.000 0.000 0.000
Al1 0.667 0.333 0.000
Cu1 0.002 0.501 0.500
Cu2 0.333 0.667 0.000
Cu3 0.499 0.501 0.500
Cu4 0.499 0.998 0.500

***

# 3
First-principles (GGA-PBEsol) data for crystalline DyAl8Cu4 at its relaxed geometry, as listed in Alexandria.

Energy of formation from the pure elements in eV per atom: -0.319
Space group: No. 139
ρ in g/cm³: 5.446
Uncorrected energy in eV for the cell shown: -59.19
Size of the total moment in μB per formula unit: 0.0

abc: 6.663 6.663 6.663
angles: 98.37 98.37 135.14
Sites, in units of the cell vectors:
Dy1 0.000 0.000 0.000
Al1 0.000 0.347 0.347
Al2 0.000 0.653 0.653
Al3 0.282 0.500 0.782
Al4 0.347 0.000 0.347
Al5 0.500 0.282 0.782
Al6 0.500 0.718 0.218
Al7 0.653 0.000 0.653
Al8 0.718 0.500 0.218
Cu1 0.000 0.000 0.500
Cu2 0.000 0.500 0.000
Cu3 0.500 0.000 0.000
Cu4 0.500 0.500 0.500

***

# 4
First-principles (GGA-PBEsol) data for crystalline ErAlCu4 at its relaxed geometry, as listed in Alexandria.

Energy of formation from the pure elements in eV per atom: -0.246
Space group: No. 187
ρ in g/cm³: 8.459
Uncorrected energy in eV for the cell shown: -27.83
Size of the total moment in μB per formula unit: 0.0

abc: 5.044 5.044 3.995
angles: 90.00 90.00 120.00
Sites, in units of the cell vectors:
Er1 0.000 0.000 0.000
Al1 0.333 0.667 0.000
Cu1 0.501 0.002 0.500
Cu2 0.501 0.499 0.500
Cu3 0.667 0.333 0.000
Cu4 0.998 0.499 0.500

***

# 5
First-principles (GGA-PBEsol) data for crystalline ErAl8Cu4 at its relaxed geometry, as listed in Alexandria.

Energy of formation from the pure elements in eV per atom: -0.311
Space group: No. 139
ρ in g/cm³: 5.506
Uncorrected energy in eV for the cell shown: -59.04
Size of the total moment in μB per formula unit: 0.0

abc: 6.657 6.657 6.657
angles: 98.35 98.35 135.20
Sites, in units of the cell vectors:
Er1 0.000 0.000 0.000
Al1 0.000 0.347 0.347
Al2 0.000 0.653 0.653
Al3 0.282 0.500 0.782
Al4 0.347 0.000 0.347
Al5 0.500 0.282 0.782
Al6 0.500 0.718 0.218
Al7 0.653 0.000 0.653
Al8 0.718 0.500 0.218
Cu1 0.000 0.000 0.500
Cu2 0.000 0.500 0.000
Cu3 0.500 0.000 0.000
Cu4 0.500 0.500 0.500

***

# 6
First-principles (GGA-PBEsol) data for crystalline Er6Al7Cu16 at its relaxed geometry, as listed in Alexandria.

Energy of formation from the pure elements in eV per atom: -0.389
Space group: No. 225
ρ in g/cm³: 8.304
Uncorrected energy in eV for the cell shown: -138.84
Size of the total moment in μB per formula unit: 0.0

abc: 8.549 8.549 8.549
angles: 60.00 60.00 60.00
Sites, in units of the cell vectors:
Er1 0.211 0.211 0.789
Er2 0.211 0.789 0.211
Er3 0.211 0.789 0.789
Er4 0.789 0.211 0.211
Er5 0.789 0.211 0.789
Er6 0.789 0.789 0.211
Al1 0.000 0.000 0.500
Al2 0.000 0.500 0.000
Al3 0.000 0.500 0.500
Al4 0.500 0.000 0.000
Al5 0.500 0.000 0.500
Al6 0.500 0.500 0.000
Al7 0.500 0.500 0.500
Cu1 0.135 0.622 0.622
Cu2 0.173 0.173 0.173
Cu3 0.173 0.173 0.480
Cu4 0.173 0.480 0.173
Cu5 0.378 0.378 0.378
Cu6 0.378 0.378 0.865
Cu7 0.378 0.865 0.378
Cu8 0.480 0.173 0.173
Cu9 0.520 0.827 0.827
Cu10 0.622 0.135 0.622
Cu11 0.622 0.622 0.135
Cu12 0.622 0.622 0.622
Cu13 0.827 0.520 0.827
Cu14 0.827 0.827 0.520
Cu15 0.827 0.827 0.827
Cu16 0.865 0.378 0.378

***

# 7
First-principles (GGA-PBEsol) data for crystalline EuAl8Cu4 at its relaxed geometry, as listed in Alexandria.

Energy of formation from the pure elements in eV per atom: -0.313
Space group: No. 139
ρ in g/cm³: 5.272
Uncorrected energy in eV for the cell shown: -64.71
Size of the total moment in μB per formula unit: 6.9

abc: 6.701 6.701 6.701
angles: 98.34 98.34 135.23
Sites, in units of the cell vectors:
Eu1 0.000 0.000 0.000
Al1 0.000 0.347 0.347
Al2 0.000 0.653 0.653
Al3 0.279 0.500 0.779
Al4 0.347 0.000 0.347
Al5 0.500 0.279 0.779
Al6 0.500 0.721 0.221
Al7 0.653 0.000 0.653
Al8 0.721 0.500 0.221
Cu1 0.000 0.000 0.500
Cu2 0.000 0.500 0.000
Cu3 0.500 0.000 0.000
Cu4 0.500 0.500 0.500

***

# 8
First-principles (GGA-PBEsol) data for crystalline AlCuF5 at its relaxed geometry, as listed in Alexandria.

Space group: No. 71
Energy relative to the elements, uncorrected in eV per atom: -2.62
ρ in g/cm³: 3.876
Uncorrected energy in eV for the cell shown: -36.40
Size of the total moment in μB per formula unit: 1.0

abc: 5.087 5.087 5.087
angles: 139.17 105.82 88.32
Sites, in units of the cell vectors:
Al1 0.000 0.000 0.000
Cu1 0.500 0.500 0.000
F1 0.000 0.500 0.500
F2 0.247 0.247 0.000
F3 0.296 0.000 0.296
F4 0.704 0.000 0.704
F5 0.753 0.753 0.000